The following is a PBE calculation of AcNd2SmS4 after structural relaxation, from the Alexandria database.

Values from the calculation:
Total energy = -6.361 eV/atom
N(E_F) = 4.9 states/eV per cell
Formation energy without anion corrections = -2.002 eV per atom

The structure in CIF format:
```
data_AcNd2SmS4
_symmetry_space_group_name_H-M 'P 1'
_symmetry_Int_Tables_number 1
_cell_length_a 7.126
_cell_length_b 4.085
_cell_length_c 7.180
_cell_angle_alpha 90.00
_cell_angle_beta 109.13
_cell_angle_gamma 90.00
loop_
_symmetry_equiv_pos_as_xyz
'x,y,z'
loop_
_atom_site_label
_atom_site_fract_x
_atom_site_fract_y
_atom_site_fract_z
_atom_site_occupancy
Ac1 0.000 0.000 0.000 1
Nd1 0.500 0.000 0.500 1
Nd2 0.500 0.500 0.000 1
Sm1 0.000 0.500 0.500 1
S1 0.250 0.000 0.741 1
S2 0.258 0.500 0.262 1
S3 0.742 0.500 0.738 1
S4 0.750 0.000 0.259 1
```

The following is a PBE calculation of BaTmMg2Pb4 after structural relaxation, from the Alexandria database.

Values from the calculation:
Total energy = -3.309 eV/atom
Energy of formation from the pure elements = -0.256 eV/atom
N(E_F) = 5.2 states/eV per cell

The structure in CIF format:
```
data_BaTmMg2Pb4
_symmetry_space_group_name_H-M 'P 1'
_symmetry_Int_Tables_number 1
_cell_length_a 10.998
_cell_length_b 10.998
_cell_length_c 10.998
_cell_angle_alpha 27.40
_cell_angle_beta 27.40
_cell_angle_gamma 27.40
loop_
_symmetry_equiv_pos_as_xyz
'x,y,z'
loop_
_atom_site_label
_atom_site_fract_x
_atom_site_fract_y
_atom_site_fract_z
_atom_site_occupancy
Ba1 0.000 0.000 0.000 1
Tm1 0.500 0.500 0.500 1
Mg1 0.241 0.241 0.241 1
Mg2 0.759 0.759 0.759 1
Pb1 0.132 0.132 0.132 1
Pb2 0.398 0.398 0.398 1
Pb3 0.602 0.602 0.602 1
Pb4 0.868 0.868 0.868 1
```

The following is a PBE calculation of Y2HfNi after structural relaxation, from the Alexandria database.

Values from the calculation:
Total energy = -6.835 eV/atom
Energy relative to the lowest polymorph listed for this composition = 0.397 eV/atom
Energy of formation from the pure elements = 0.331 eV/atom
N(E_F) = 4.0 states/eV per cell

The structure in CIF format:
```
data_Y2HfNi
_symmetry_space_group_name_H-M 'P 1'
_symmetry_Int_Tables_number 1
_cell_length_a 10.428
_cell_length_b 10.428
_cell_length_c 10.428
_cell_angle_alpha 18.48
_cell_angle_beta 18.48
_cell_angle_gamma 18.48
loop_
_symmetry_equiv_pos_as_xyz
'x,y,z'
loop_
_atom_site_label
_atom_site_fract_x
_atom_site_fract_y
_atom_site_fract_z
_atom_site_occupancy
Y1 0.104 0.104 0.104 1
Y2 0.896 0.896 0.896 1
Hf1 0.000 0.000 0.000 1
Ni1 0.500 0.500 0.500 1
```

The following is a PBE calculation of K3PmSe4O12 after structural relaxation, from the Alexandria database.

Values from the calculation:
Total energy = -5.127 eV/atom
N(E_F) = 7.2 states/eV per cell
Formation energy without anion corrections = -1.053 eV per atom

The structure in CIF format:
```
data_K3PmSe4O12
_symmetry_space_group_name_H-M 'P 1'
_symmetry_Int_Tables_number 1
_cell_length_a 7.738
_cell_length_b 7.738
_cell_length_c 7.738
_cell_angle_alpha 106.37
_cell_angle_beta 106.37
_cell_angle_gamma 106.37
loop_
_symmetry_equiv_pos_as_xyz
'x,y,z'
loop_
_atom_site_label
_atom_site_fract_x
_atom_site_fract_y
_atom_site_fract_z
_atom_site_occupancy
K1 0.000 0.527 0.473 1
K2 0.473 0.000 0.527 1
K3 0.527 0.473 0.000 1
Pm1 0.000 0.000 0.000 1
Se1 0.038 0.500 0.962 1
Se2 0.500 0.500 0.500 1
Se3 0.500 0.962 0.038 1
Se4 0.962 0.038 0.500 1
O1 0.026 0.145 0.330 1
O2 0.097 0.903 0.500 1
O3 0.145 0.330 0.026 1
O4 0.330 0.026 0.145 1
O5 0.366 0.634 0.500 1
O6 0.500 0.097 0.903 1
O7 0.500 0.366 0.634 1
O8 0.634 0.500 0.366 1
O9 0.670 0.855 0.974 1
O10 0.855 0.974 0.670 1
O11 0.903 0.500 0.097 1
O12 0.974 0.670 0.855 1
```

The following is a PBE calculation of Dy3Er3CuTc2 after structural relaxation, from the Alexandria database.

Values from the calculation:
Total energy = -5.842 eV/atom
Energy of formation from the pure elements = -0.028 eV/atom
N(E_F) = 8.9 states/eV per cell

The structure in CIF format:
```
data_Dy3Er3CuTc2
_symmetry_space_group_name_H-M 'P 1'
_symmetry_Int_Tables_number 1
_cell_length_a 8.002
_cell_length_b 8.002
_cell_length_c 3.845
_cell_angle_alpha 90.00
_cell_angle_beta 90.00
_cell_angle_gamma 120.00
loop_
_symmetry_equiv_pos_as_xyz
'x,y,z'
loop_
_atom_site_label
_atom_site_fract_x
_atom_site_fract_y
_atom_site_fract_z
_atom_site_occupancy
Dy1 0.000 0.736 0.000 1
Dy2 0.264 0.264 0.000 1
Dy3 0.736 0.000 0.000 1
Er1 0.000 0.407 0.500 1
Er2 0.407 0.000 0.500 1
Er3 0.593 0.593 0.500 1
Cu1 0.000 0.000 0.500 1
Tc1 0.333 0.667 0.000 1
Tc2 0.667 0.333 0.000 1
```

The following is a PBE calculation of RbHg2Au after structural relaxation, from the Alexandria database.

Values from the calculation:
Total energy = -1.323 eV/atom
Energy relative to the lowest polymorph listed for this composition = 0.144 eV/atom
Energy of formation from the pure elements = -0.111 eV/atom
N(E_F) = 0.3 states/eV per cell

The structure in CIF format:
```
data_RbHg2Au
_symmetry_space_group_name_H-M 'P 1'
_symmetry_Int_Tables_number 1
_cell_length_a 4.898
_cell_length_b 4.898
_cell_length_c 5.457
_cell_angle_alpha 90.00
_cell_angle_beta 90.00
_cell_angle_gamma 90.00
loop_
_symmetry_equiv_pos_as_xyz
'x,y,z'
loop_
_atom_site_label
_atom_site_fract_x
_atom_site_fract_y
_atom_site_fract_z
_atom_site_occupancy
Rb1 0.000 0.000 0.000 1
Hg1 0.000 0.500 0.500 1
Hg2 0.500 0.000 0.500 1
Au1 0.500 0.500 0.000 1
```